Record 1
DyScGa: optimized geometry, PBE-GGA.

Geometry as POSCAR:
```
DyScGa
1.0
4.813 0.000 0.000
2.406 4.168 0.000
2.406 1.389 3.929
Sc Ga Dy
1 1 1
Direct
0.500 0.500 0.500
0.250 0.250 0.250
0.000 0.000 0.000
```

Values from the calculation:
Energy of formation in meV/atom: -248



Record 2
NaZnCdPd: optimized geometry, PBE-GGA.

Geometry as POSCAR:
```
NaZnCdPd
1.0
-0.813 -2.987 -3.504
3.490 -2.594 -1.718
0.095 -4.608 0.787
Na Zn Pd Cd
1 1 1 1
Direct
0.250 0.250 0.250
0.500 0.500 0.500
0.750 0.750 0.750
0.000 0.000 0.000
```

Values from the calculation:
Energy of formation in meV/atom: -177



Record 3
La12Ho5Sc2: optimized geometry, PBE-GGA.

Geometry as POSCAR:
```
La12Ho5Sc2
1.0
7.489 0.000 0.000
-3.744 9.210 4.584
0.000 1.120 9.943
La Ho Sc
12 5 2
Direct
0.998 0.996 0.203
0.065 0.668 0.835
0.603 0.668 0.835
0.087 0.677 0.478
0.590 0.677 0.478
0.487 0.974 0.691
0.513 0.026 0.309
0.913 0.323 0.522
0.410 0.323 0.522
0.935 0.332 0.165
0.397 0.332 0.165
0.002 0.004 0.797
0.170 0.341 0.824
0.328 0.656 0.158
0.000 0.000 0.500
0.672 0.344 0.842
0.830 0.659 0.176
0.693 0.000 0.000
0.307 0.000 0.000
```

Values from the calculation:
Energy of formation in meV/atom: 148



Record 4
La2TeW: optimized geometry, PBE-GGA.

Geometry as POSCAR:
```
La2TeW
1.0
5.205 0.000 0.000
2.602 4.507 0.000
2.602 1.502 4.250
La Te W
2 1 1
Direct
0.000 0.000 0.000
0.250 0.250 0.250
0.500 0.500 0.500
0.750 0.750 0.750
```

Values from the calculation:
Energy relative to the elements, uncorrected in eV/atom: 0.292



Record 5
Ac2TaAlGe6: optimized geometry, PBE-GGA.

Geometry as POSCAR:
```
Ac2TaAlGe6
1.0
-0.504 -6.367 1.434
3.082 -4.440 -3.692
10.817 -2.751 6.534
Ac Ta Al Ge
4 2 2 12
Direct
0.886 0.886 0.341
0.114 0.114 0.659
0.710 0.710 0.869
0.290 0.290 0.131
0.000 0.000 0.000
0.500 0.500 0.500
0.573 0.573 0.280
0.427 0.427 0.720
0.940 0.333 0.394
0.333 0.940 0.394
0.333 0.333 0.394
0.060 0.667 0.606
0.667 0.060 0.606
0.667 0.667 0.606
0.657 0.232 0.880
0.232 0.657 0.880
0.232 0.232 0.880
0.343 0.768 0.120
0.768 0.343 0.120
0.768 0.768 0.120
```

Values from the calculation:
Energy of formation in meV/atom: -332



Record 6
SrLi2InF: optimized geometry, PBE-GGA.

Geometry as POSCAR:
```
SrLi2InF
1.0
-1.675 -3.213 -3.080
3.340 1.269 -3.139
3.054 -3.392 1.878
Sr F Li In
1 1 2 1
Direct
0.000 0.000 0.500
0.000 0.000 0.000
0.000 0.500 0.000
0.500 0.000 0.000
0.500 0.500 0.500
```

Values from the calculation:
Energy relative to the elements, uncorrected in eV/atom: -1.164



Record 7
AcGeAs: optimized geometry, PBE-GGA.

Geometry as POSCAR:
```
AcGeAs
1.0
-3.141 -3.038 2.462
-3.321 -2.767 -2.543
0.579 -4.974 -0.290
Ac Ge As
1 1 1
Direct
0.500 0.500 0.500
0.250 0.250 0.250
0.000 0.000 0.000
```

Values from the calculation:
Energy of formation in meV/atom: -320



Record 8
PtIN2: optimized geometry, PBE-GGA.

Geometry as POSCAR:
```
PtIN2
1.0
2.031 0.000 6.170
-1.016 1.759 6.170
-1.016 -1.759 6.170
I Pt N
1 1 2
Direct
0.500 0.500 0.500
0.000 0.000 0.000
0.896 0.896 0.896
0.104 0.104 0.104
```

Values from the calculation:
Energy relative to the elements, uncorrected in eV/atom: 1.568



Record 9
Sr2Pt: optimized geometry, PBE-GGA.

Geometry as POSCAR:
```
Sr2Pt
1.0
-5.406 -4.648 4.287
7.213 -3.282 -2.534
2.034 1.355 4.034
Pt Sr
3 6
Direct
0.333 0.667 0.000
0.667 0.333 0.000
0.000 0.000 0.500
0.258 0.000 0.000
0.000 0.258 0.000
0.742 0.742 0.000
0.590 0.000 0.500
0.000 0.590 0.500
0.410 0.410 0.500
```

Values from the calculation:
Energy of formation in meV/atom: -644



Record 10
ZnAsP2: optimized geometry, PBE-GGA.

Geometry as POSCAR:
```
ZnAsP2
1.0
3.512 0.000 0.000
0.000 3.515 0.000
0.000 0.000 5.470
As P Zn
1 2 1
Direct
0.500 0.500 0.750
0.000 0.000 0.047
0.000 0.000 0.453
0.500 0.500 0.250
```

Values from the calculation:
Energy of formation in meV/atom: 457



Record 11
V3N: optimized geometry, PBE-GGA.

Geometry as POSCAR:
```
V3N
1.0
-1.357 0.496 2.494
0.005 -4.695 -0.730
5.775 -0.498 3.241
V N
6 2
Direct
0.440 0.879 0.750
0.560 0.121 0.250
0.153 0.306 0.937
0.847 0.694 0.063
0.847 0.694 0.437
0.153 0.306 0.563
0.765 0.531 0.750
0.235 0.469 0.250
```

Values from the calculation:
Energy relative to the elements, uncorrected in eV/atom: -0.470



Record 12
BaBr3O: optimized geometry, PBE-GGA.

Geometry as POSCAR:
```
BaBr3O
1.0
-2.017 0.395 -4.591
-1.828 -4.669 0.401
-4.230 1.829 2.016
O Ba Br
1 1 3
Direct
0.000 0.000 0.000
0.500 0.500 0.500
0.000 0.500 0.000
0.000 0.000 0.500
0.500 0.000 0.000
```

Values from the calculation:
Energy relative to the elements, uncorrected in eV/atom: -0.833



Record 13
VIrI2: optimized geometry, PBE-GGA.

Geometry as POSCAR:
```
VIrI2
1.0
-3.382 2.454 -2.948
-2.201 -4.461 -1.187
-7.591 -0.265 4.053
I Ir V
4 2 2
Direct
0.629 0.125 0.250
0.121 0.625 0.250
0.375 0.371 0.750
0.875 0.879 0.750
0.000 0.000 0.000
0.750 0.250 0.500
0.500 0.500 0.000
0.250 0.750 0.500
```

Values from the calculation:
Energy relative to the elements, uncorrected in eV/atom: 0.718



Record 14
AcPmEuZn: optimized geometry, PBE-GGA.

Geometry as POSCAR:
```
AcPmEuZn
1.0
5.700 0.000 0.000
2.850 4.936 0.000
2.850 1.645 4.654
Eu Ac Zn Pm
1 1 1 1
Direct
0.750 0.750 0.750
0.500 0.500 0.500
0.000 0.000 0.000
0.250 0.250 0.250
```

Values from the calculation:
Energy of formation in meV/atom: 170



Record 15
LaPm3Ru: optimized geometry, PBE-GGA.

Geometry as POSCAR:
```
LaPm3Ru
1.0
6.965 -0.139 -2.851
-3.509 6.216 -2.389
0.131 0.081 7.463
La Pm Ru
2 6 2
Direct
0.713 0.046 0.758
0.287 0.954 0.242
0.842 0.052 0.297
0.245 0.455 0.297
0.755 0.545 0.703
0.702 0.450 0.152
0.158 0.948 0.703
0.298 0.550 0.848
0.639 0.756 0.395
0.361 0.244 0.605
```

Values from the calculation:
Energy of formation in meV/atom: -177



Record 16
PrTh2Au4: optimized geometry, PBE-GGA.

Geometry as POSCAR:
```
PrTh2Au4
1.0
-1.574 2.487 -4.521
-4.924 -2.137 0.538
1.378 5.018 5.499
Pr Th Au
1 2 4
Direct
0.000 0.000 0.000
0.713 0.713 0.427
0.287 0.287 0.573
0.382 0.882 0.765
0.882 0.382 0.765
0.618 0.118 0.235
0.118 0.618 0.235
```

Values from the calculation:
Energy of formation in meV/atom: -523



Record 17
La4TlIr2: optimized geometry, PBE-GGA.

Geometry as POSCAR:
```
La4TlIr2
1.0
-2.923 3.005 0.520
-1.002 -3.192 12.808
11.248 10.344 3.458
Tl Ir La
4 8 16
Direct
0.250 0.765 0.325
0.750 0.235 0.675
0.250 0.265 0.175
0.750 0.735 0.825
0.750 0.060 0.887
0.250 0.940 0.113
0.750 0.560 0.613
0.250 0.440 0.387
0.250 0.417 0.903
0.750 0.583 0.097
0.250 0.917 0.597
0.750 0.083 0.403
0.750 0.081 0.072
0.250 0.919 0.928
0.750 0.581 0.428
0.250 0.419 0.572
0.750 0.969 0.712
0.250 0.031 0.288
0.750 0.469 0.788
0.250 0.531 0.212
0.750 0.380 0.027
0.250 0.620 0.973
0.750 0.880 0.473
0.250 0.120 0.527
0.250 0.203 0.850
0.750 0.797 0.150
0.250 0.703 0.650
0.750 0.297 0.350
```

Values from the calculation:
Energy of formation in meV/atom: -635



Record 18
GdHoLuTh: optimized geometry, PBE-GGA.

Geometry as POSCAR:
```
GdHoLuTh
1.0
5.632 0.000 0.000
2.816 4.878 0.000
2.816 1.626 4.599
Gd Lu Ho Th
1 1 1 1
Direct
0.000 0.000 0.000
0.250 0.250 0.250
0.750 0.750 0.750
0.500 0.500 0.500
```

Values from the calculation:
Energy of formation in meV/atom: 113



Record 19
BaPrAg3: optimized geometry, PBE-GGA.

Geometry as POSCAR:
```
BaPrAg3
1.0
4.088 0.000 -0.563
0.000 4.887 0.000
-0.066 0.000 14.652
Ba Pr Ag
2 2 6
Direct
0.925 0.750 0.849
0.075 0.250 0.151
0.209 0.750 0.419
0.791 0.250 0.581
0.625 0.750 0.250
0.375 0.250 0.750
0.526 0.750 0.051
0.474 0.250 0.949
0.681 0.250 0.361
0.319 0.750 0.639
```

Values from the calculation:
Energy of formation in meV/atom: -238



Record 20
CrSi2Ir: optimized geometry, PBE-GGA.

Geometry as POSCAR:
```
CrSi2Ir
1.0
4.220 -0.020 -0.018
3.327 2.597 -0.018
1.004 0.343 4.728
Cr Ir Si
1 1 2
Direct
0.750 0.750 0.750
0.250 0.250 0.250
0.001 0.001 0.985
0.499 0.499 0.515
```

Values from the calculation:
Energy relative to the elements, uncorrected in eV/atom: -0.257



Record 21
HPd3S: optimized geometry, PBE-GGA.

Geometry as POSCAR:
```
HPd3S
1.0
3.560 0.000 0.000
0.000 4.643 0.000
-1.780 0.000 8.274
H Pd S
2 6 2
Direct
0.916 0.925 0.832
0.084 0.425 0.168
0.924 0.308 0.847
0.076 0.808 0.153
0.555 0.306 0.111
0.445 0.806 0.889
0.804 0.798 0.608
0.196 0.298 0.392
0.333 0.456 0.667
0.667 0.956 0.333
```

Values from the calculation:
Raw total energy in eV for the cell shown: -46.721



Record 22
Mg2CuP: optimized geometry, PBE-GGA.

Geometry as POSCAR:
```
Mg2CuP
1.0
3.817 0.000 0.000
0.000 3.776 0.006
0.000 1.858 4.728
P Mg Cu
1 2 1
Direct
0.000 0.695 0.485
0.000 0.980 0.918
0.500 0.269 0.333
0.500 0.556 0.763
```

Values from the calculation:
Energy of formation in meV/atom: -351



Record 23
KTiMnCl6: optimized geometry, PBE-GGA.

Geometry as POSCAR:
```
KTiMnCl6
1.0
6.526 0.000 0.000
-3.263 5.652 0.000
0.000 0.000 13.885
K Ti Mn Cl
2 2 2 12
Direct
0.000 0.000 0.000
0.000 0.000 0.500
0.667 0.333 0.250
0.333 0.667 0.750
0.333 0.667 0.250
0.667 0.333 0.750
0.632 0.621 0.149
0.989 0.368 0.149
0.368 0.989 0.649
0.011 0.632 0.851
0.379 0.368 0.351
0.989 0.621 0.351
0.621 0.989 0.851
0.632 0.011 0.351
0.011 0.379 0.649
0.379 0.011 0.149
0.621 0.632 0.649
0.368 0.379 0.851
```

Values from the calculation:
Energy relative to the elements, uncorrected in eV/atom: -1.514



Record 24
GaFeC2Br: optimized geometry, PBE-GGA.

Geometry as POSCAR:
```
GaFeC2Br
1.0
-1.298 0.847 -3.412
1.610 -4.888 -1.825
-3.337 -1.440 0.912
C Ga Br Fe
2 1 1 1
Direct
0.000 0.000 0.500
0.500 0.000 0.000
0.500 0.500 0.500
0.000 0.500 0.000
0.000 0.000 0.000
```

Values from the calculation:
Energy relative to the elements, uncorrected in eV/atom: 1.248



no.,DOS(E_F) (states/eV per cell)
1,4.73
2,1.74
3,32.03
4,6.55
5,9.20
6,3.46
7,2.20
8,2.94
9,2.84
10,2.29
11,4.36
12,1.67
13,6.20
14,6.59
15,10.04
16,6.14
17,22.96
18,7.04
19,7.71
20,2.53
21,5.31
22,1.20
23,15.73
24,2.09